Crystalline LiCaZn2 at its relaxed geometry. Source: Alexandria, functional GGA-PBE.

Structure (extended XYZ):
```
4
Lattice="0.000 3.475 3.475 3.475 0.000 3.475 3.475 3.475 0.000" Properties=species:S:1:pos:R:3 pbc="T T T"
Li 0.000 0.000 0.000
Ca 3.475 3.475 3.475
Zn 1.738 1.738 1.738
Zn 5.213 5.213 5.213
```

The space-group type is Fm-3m (225). Its crystal system is cubic. The value obtained for the energy above the most stable polymorph in this dataset is 56 meV per atom. As for the formation energy: -0.12 eV per atom. The calculation puts the density of states at the Fermi level at 3.03 states/eV/f.u. As for the total energy: -1.740 eV/atom.